A plane-wave DFT calculation with GGA-PBE was carried out for a relaxed K3Ga2As4 crystal.

## Properties
**Volume**: 27.38 Å³/atom
**Relative energy among the computed polymorphs**: 30 meV/atom

Structure (CIF):
```
data_K3Ga2As4
_chemical_formula_sum 'K3 Ga2 As4'
_cell_length_a 7.124
_cell_length_b 7.124
_cell_length_c 8.694
_cell_angle_alpha 105.27
_cell_angle_beta 105.27
_cell_angle_gamma 35.53
_symmetry_space_group_name_H-M 'P 1'
_symmetry_Int_Tables_number 1
_symmetry_space_group_name_Hall 'P 1'
loop_
_atom_site_label
_atom_site_type_symbol
_atom_site_fract_x
_atom_site_fract_y
_atom_site_fract_z
_atom_site_occupancy
K1 K 0.000 0.000 0.000 1
K2 K 0.410 0.410 0.321 1
K3 K 0.590 0.590 0.679 1
Ga1 Ga 0.283 0.283 0.657 1
Ga2 Ga 0.717 0.717 0.343 1
As1 As 0.129 0.129 0.397 1
As2 As 0.287 0.287 0.958 1
As3 As 0.713 0.713 0.042 1
As4 As 0.871 0.871 0.603 1
```

A plane-wave DFT calculation with GGA-PBE was carried out for a relaxed Tb4Mg2Cd crystal.

## Properties
**E**: -3.182 eV/atom
**Volume**: 29.47 Å³/atom

Structure (CIF):
```
data_Tb4Mg2Cd
_chemical_formula_sum 'Tb4 Mg2 Cd1'
_cell_length_a 9.011
_cell_length_b 9.011
_cell_length_c 9.011
_cell_angle_alpha 34.21
_cell_angle_beta 34.21
_cell_angle_gamma 34.21
_symmetry_space_group_name_H-M 'P 1'
_symmetry_Int_Tables_number 1
_symmetry_space_group_name_Hall 'P 1'
loop_
_atom_site_label
_atom_site_type_symbol
_atom_site_fract_x
_atom_site_fract_y
_atom_site_fract_z
_atom_site_occupancy
Tb1 Tb 0.118 0.118 0.118 1
Tb2 Tb 0.371 0.371 0.371 1
Tb3 Tb 0.629 0.629 0.629 1
Tb4 Tb 0.882 0.882 0.882 1
Mg1 Mg 0.245 0.245 0.245 1
Mg2 Mg 0.755 0.755 0.755 1
Cd1 Cd 0.500 0.500 0.500 1
```

A plane-wave DFT calculation with GGA-PBE was carried out for a relaxed TbTm5Sc5 crystal.

## Properties
**E**: -5.082 eV/atom
**Volume**: 29.04 Å³/atom

Structure (CIF):
```
data_TbTm5Sc5
_chemical_formula_sum 'Tb1 Tm5 Sc5'
_cell_length_a 5.750
_cell_length_b 5.750
_cell_length_c 11.156
_cell_angle_alpha 90.00
_cell_angle_beta 90.00
_cell_angle_gamma 120.00
_symmetry_space_group_name_H-M 'P 1'
_symmetry_Int_Tables_number 1
_symmetry_space_group_name_Hall 'P 1'
loop_
_atom_site_label
_atom_site_type_symbol
_atom_site_fract_x
_atom_site_fract_y
_atom_site_fract_z
_atom_site_occupancy
Tb1 Tb 0.000 0.000 0.000 1
Tm1 Tm 0.000 0.000 0.321 1
Tm2 Tm 0.000 0.000 0.679 1
Tm3 Tm 0.333 0.667 0.161 1
Tm4 Tm 0.333 0.667 0.839 1
Tm5 Tm 0.667 0.333 0.000 1
Sc1 Sc 0.502 0.003 0.500 1
Sc2 Sc 0.502 0.498 0.500 1
Sc3 Sc 0.667 0.333 0.268 1
Sc4 Sc 0.667 0.333 0.732 1
Sc5 Sc 0.997 0.498 0.500 1
```

- Look up the volume of the first one.
  27.38 Å³/atom

- The lowest volume belongs to which entry?
  K3Ga2As4

- The highest volume belongs to which entry?
  Tb4Mg2Cd